1.
Computed, not measured: crystalline AcPmLu at its relaxed geometry at the PBE-GGA level of DFT.

a = 3.7526 Å, b = 3.7526 Å, c = 8.1087 Å
α = 103.38°, β = 103.38°, γ = 90.00°
Positions (direct):
1 Lu 0.3280 0.3280 0.6559
2 Pm 0.6742 0.6742 0.3485
3 Ac 0.9978 0.9978 0.9956

Summary:
Crystal system: tetragonal
D(E_F), states/eV/f.u.: 4.54
Energy of formation, meV/atom: 66
Size of the total moment, μB per formula unit: 0.00
Relative energy among the computed polymorphs, eV/atom: 0.000


2.
Computed, not measured: crystalline Ac2PmLu at its relaxed geometry at the PBE-GGA level of DFT.

a = 5.1693 Å, b = 5.4092 Å, c = 5.4092 Å
α = 90.00°, β = 90.00°, γ = 90.00°
Positions (direct):
1 Lu 0.5000 0.0000 0.0000
2 Ac 0.0000 0.0000 0.5000
3 Ac 0.0000 0.5000 0.0000
4 Pm 0.5000 0.5000 0.5000

Summary:
Crystal system: tetragonal
D(E_F), states/eV/f.u.: 5.66
Energy of formation, meV/atom: 48
Size of the total moment, μB per formula unit: 0.00
Relative energy among the computed polymorphs, eV/atom: 0.000


3.
Computed, not measured: crystalline Ac2PmLu at its relaxed geometry at the PBE-GGA level of DFT.

a = 3.7023 Å, b = 3.7023 Å, c = 13.3331 Å
α = 82.02°, β = 82.02°, γ = 60.00°
Positions (direct):
1 Lu 0.0000 0.0000 0.0000
2 Ac 0.0876 0.0876 0.7372
3 Ac 0.9124 0.9124 0.2628
4 Pm 0.5000 0.5000 0.5000

Summary:
Crystal system: trigonal
D(E_F), states/eV/f.u.: 7.01
Energy of formation, meV/atom: 268
Size of the total moment, μB per formula unit: 0.00
Relative energy among the computed polymorphs, eV/atom: 0.220